A plane-wave DFT calculation with GGA-PBE was carried out for a geometry-optimized MgTa2Hg structure.

Space-group type: No. 35
Energy relative to the lowest polymorph listed for this composition, meV/atom: 0

Cell lengths 2.9364, 2.9364, 9.3985 Å; angles 90.00, 90.00, 106.03 degrees
Element x y z (fractional)
Hg (0.0000, 0.0000, 0.4989)
Mg (0.5000, 0.5000, 0.7522)
Ta (0.0000, 0.0000, 0.0091)
Ta (0.5000, 0.5000, 0.2398)

***

A plane-wave DFT calculation with GGA-PBE was carried out for a geometry-optimized MgTa2Hg structure.

Space-group type: No. 44
Energy relative to the lowest polymorph listed for this composition, meV/atom: 228

Cell lengths 5.7307, 5.7307, 5.7307 Å; angles 148.56, 126.85, 63.08 degrees
Element x y z (fractional)
Hg (0.5008, 0.5008, 0.0000)
Mg (0.2559, 0.7559, 0.5000)
Ta (0.9865, 0.9865, 0.0000)
Ta (0.7567, 0.2567, 0.5000)

***

A plane-wave DFT calculation with GGA-PBE was carried out for a geometry-optimized MgTa2Hg structure.

Space-group type: No. 12
Energy relative to the lowest polymorph listed for this composition, meV/atom: 195

Cell lengths 5.7529, 5.7529, 2.9315 Å; angles 80.82, 80.82, 123.16 degrees
Element x y z (fractional)
Hg (0.5000, 0.0000, 0.5000)
Mg (0.0000, 0.5000, 0.5000)
Ta (0.0000, 0.0000, 0.0000)
Ta (0.5000, 0.5000, 0.0000)

***

Among the records above, which one has the lowest energy relative to the lowest polymorph listed for this composition?
number 1